# Er2ScCu

Crystalline Er2ScCu at its relaxed geometry (PBE-GGA, the Alexandria database).

Cell and atoms, written as extended XYZ:
```
4
Lattice="-2.6143 -0.4374 2.4728 -3.4502 -0.4754 -3.7317 0.7746 -5.0448 -0.0734" Properties=species:S:1:pos:R:3 pbc="T T T"
Sc -1.3072 -0.2187 1.2364
Er 0.3873 -2.5224 -0.0367
Er -1.7251 -0.2377 -1.8659
Cu -2.6450 -2.9788 -0.6662
```

energy of formation from the pure elements = 46 meV per atom

=====

# Er2ScCuSe5

Crystalline Er2ScCuSe5 at its relaxed geometry (PBE-GGA, the Alexandria database).

Cell and atoms, written as extended XYZ:
```
18
Lattice="3.9143 0.0000 0.0000 -1.9572 8.5114 0.0000 0.0000 0.0000 11.8319" Properties=species:S:1:pos:R:3 pbc="T T T"
Se 1.9572 3.2507 10.0233
Se 0.0000 5.2607 4.1074
Se 1.9572 0.0351 3.3241
Se 1.9572 2.4900 5.9267
Se 0.0000 0.7487 0.7875
Se 0.0000 4.8698 7.9211
Se 1.9572 3.6416 2.0051
Se 1.9572 7.7626 6.7034
Se 0.0000 8.4763 9.2400
Se 0.0000 6.0214 0.0108
Sc 1.9572 5.2616 6.0516
Sc 0.0000 3.2498 0.1357
Cu 0.0000 7.3710 5.3966
Cu 1.9572 1.1404 11.3126
Er 0.0000 1.8672 8.1100
Er 1.9572 6.3694 9.5357
Er 1.9572 6.6442 2.1941
Er 0.0000 2.1420 3.6197
```

calculated total energy = -5.590 eV/atom

=====

# ErScCu2Si2

Crystalline ErScCu2Si2 at its relaxed geometry (PBE-GGA, the Alexandria database).

Cell and atoms, written as extended XYZ:
```
6
Lattice="-2.3488 3.1988 -1.0638 1.3953 -2.5729 -2.8834 -5.7255 -3.9526 0.7564" Properties=species:S:1:pos:R:3 pbc="T T T"
Cu -3.9851 -3.5018 -1.7309
Cu -2.6939 0.1750 -1.4598
Si -5.3095 -1.6306 -1.1143
Si -1.3695 -1.6962 -2.0764
Er 0.0000 0.0000 0.0000
Sc -2.8627 -1.9763 0.3782
```

calculated total energy = -5.642 eV/atom

=====

# SmErScCu

Crystalline SmErScCu at its relaxed geometry (PBE-GGA, the Alexandria database).

Cell and atoms, written as extended XYZ:
```
4
Lattice="-0.3980 3.6560 -3.6404 1.3308 -1.0593 -4.8872 -3.6471 -0.3714 -3.6522" Properties=species:S:1:pos:R:3 pbc="T T T"
Er -1.3571 1.1126 -6.0899
Sc -2.0357 1.6689 -9.1348
Sm 0.0000 0.0000 0.0000
Cu -0.6786 0.5563 -3.0449
```

energy of formation from the pure elements = 130 meV per atom

=====

What are the theoretical density values for these records? In order: 7.79; 7.06; 6.42; 7.22 Mg/m³.